# CaFe8O8F8, relaxed, DFT GGA+U
# E_tot   -149.13 eV per formula unit
data_CaFe8O8F8
_cell_length_a 5.128
_cell_length_b 5.375
_cell_length_c 11.828
_cell_angle_alpha 88.25
_cell_angle_beta 87.62
_cell_angle_gamma 89.22
_space_group_name_H-M_alt 'P 1'
_space_group_IT_number 1
_space_group_name_Hall 'P 1'
loop_
_atom_site_label
_atom_site_type_symbol
_atom_site_fract_x
_atom_site_fract_y
_atom_site_fract_z
O1 O 0.777 0.821 0.858
O2 O 0.639 0.301 0.506
F1 F 0.698 0.312 0.268
F2 F 0.221 0.130 0.876
Fe1 Fe 0.420 0.417 0.626
F3 F 0.831 0.843 0.383
F4 F 0.824 0.829 0.144
F5 F 0.687 0.314 0.741
F6 F 0.276 0.654 0.982
F7 F 0.289 0.645 0.505
F8 F 0.819 0.817 0.622
O3 O 0.317 0.673 0.261
Fe2 Fe 0.051 0.915 0.749
O4 O 0.242 0.166 0.131
Fe3 Fe 0.086 0.957 0.256
Fe4 Fe 0.559 0.548 0.852
Fe5 Fe 0.494 0.482 0.140
Fe6 Fe 0.935 0.074 0.505
O5 O 0.291 0.630 0.745
O6 O 0.679 0.375 0.992
Fe7 Fe 0.048 0.336 0.014
Fe8 Fe 0.429 0.436 0.380
Ca1 Ca 0.550 0.979 0.012
O7 O 0.174 0.178 0.380
O8 O 0.160 0.154 0.631